Record 1
PaTl2HgI8 | PBE | relaxed

CIF file:
```
data_PaTl2HgI8
_cell_length_a 6.734
_cell_length_b 8.467
_cell_length_c 11.214
_cell_angle_alpha 90.07
_cell_angle_beta 90.21
_cell_angle_gamma 90.21
_space_group_name_H-M_alt 'P 1'
_space_group_IT_number 1
_space_group_name_Hall 'P 1'
loop_
_atom_site_label
_atom_site_fract_x
_atom_site_fract_y
_atom_site_fract_z
_atom_site_occupancy
Pa1 0.000 0.000 0.000 1
Tl1 0.498 0.500 0.238 1
Tl2 0.502 0.500 0.762 1
Hg1 0.000 0.000 0.500 1
I1 0.230 0.700 0.999 1
I2 0.245 0.504 0.500 1
I3 0.248 0.134 0.810 1
I4 0.250 0.131 0.191 1
I5 0.750 0.869 0.809 1
I6 0.752 0.866 0.190 1
I7 0.755 0.496 0.500 1
I8 0.770 0.300 0.001 1
```

Results
Final energy: -34.7 eV/cell
Formation energy (no corrections): -0.648 eV per atom

---

Record 2
PaTlHgI6 | PBE | relaxed

CIF file:
```
data_PaTlHgI6
_cell_length_a 8.555
_cell_length_b 8.555
_cell_length_c 15.941
_cell_angle_alpha 90.00
_cell_angle_beta 90.00
_cell_angle_gamma 120.00
_space_group_name_H-M_alt 'P 1'
_space_group_IT_number 1
_space_group_name_Hall 'P 1'
loop_
_atom_site_label
_atom_site_fract_x
_atom_site_fract_y
_atom_site_fract_z
_atom_site_occupancy
Pa1 0.333 0.667 0.250 1
Pa2 0.667 0.333 0.750 1
Tl1 0.333 0.667 0.750 1
Tl2 0.667 0.333 0.250 1
Hg1 0.000 0.000 0.000 1
Hg2 0.000 0.000 0.500 1
I1 0.048 0.390 0.142 1
I2 0.048 0.658 0.358 1
I3 0.342 0.390 0.358 1
I4 0.342 0.952 0.142 1
I5 0.390 0.048 0.642 1
I6 0.390 0.342 0.858 1
I7 0.610 0.658 0.142 1
I8 0.610 0.952 0.358 1
I9 0.658 0.048 0.858 1
I10 0.658 0.610 0.642 1
I11 0.952 0.342 0.642 1
I12 0.952 0.610 0.858 1
```

Results
Final energy: -56.9 eV/cell
Formation energy (no corrections): -0.778 eV per atom

---

Record 3
PaTlHg2I6 | PBE | relaxed

CIF file:
```
data_PaTlHg2I6
_cell_length_a 8.119
_cell_length_b 10.306
_cell_length_c 12.213
_cell_angle_alpha 90.00
_cell_angle_beta 111.38
_cell_angle_gamma 90.00
_space_group_name_H-M_alt 'P 1'
_space_group_IT_number 1
_space_group_name_Hall 'P 1'
loop_
_atom_site_label
_atom_site_fract_x
_atom_site_fract_y
_atom_site_fract_z
_atom_site_occupancy
Pa1 0.000 0.000 0.000 1
Pa2 0.000 0.500 0.500 1
Tl1 0.500 0.000 0.500 1
Tl2 0.500 0.500 0.000 1
Hg1 0.360 0.068 0.721 1
Hg2 0.360 0.432 0.221 1
Hg3 0.640 0.568 0.779 1
Hg4 0.640 0.932 0.279 1
I1 0.092 0.042 0.256 1
I2 0.092 0.458 0.756 1
I3 0.204 0.744 0.548 1
I4 0.204 0.756 0.048 1
I5 0.319 0.143 0.008 1
I6 0.319 0.357 0.508 1
I7 0.681 0.643 0.492 1
I8 0.681 0.857 0.992 1
I9 0.796 0.244 0.952 1
I10 0.796 0.256 0.452 1
I11 0.908 0.542 0.244 1
I12 0.908 0.958 0.744 1
```

Results
Final energy: -56.9 eV/cell
Formation energy (no corrections): -0.667 eV per atom

---

Record 4
PaTl2HgI6 | PBE | relaxed

CIF file:
```
data_PaTl2HgI6
_cell_length_a 8.656
_cell_length_b 8.663
_cell_length_c 9.457
_cell_angle_alpha 62.78
_cell_angle_beta 62.78
_cell_angle_gamma 60.04
_space_group_name_H-M_alt 'P 1'
_space_group_IT_number 1
_space_group_name_Hall 'P 1'
loop_
_atom_site_label
_atom_site_fract_x
_atom_site_fract_y
_atom_site_fract_z
_atom_site_occupancy
Pa1 0.000 0.000 0.000 1
Tl1 0.180 0.181 0.458 1
Tl2 0.657 0.656 0.030 1
Hg1 0.497 0.497 0.510 1
I1 0.039 0.375 0.777 1
I2 0.206 0.947 0.217 1
I3 0.375 0.809 0.776 1
I4 0.631 0.205 0.217 1
I5 0.808 0.039 0.777 1
I6 0.947 0.631 0.217 1
```

Results
Final energy: -31.3 eV/cell
Formation energy (no corrections): -0.744 eV per atom

---

Record 5
Hg2Pb2I7 | PBE | relaxed

CIF file:
```
data_Hg2Pb2I7
_cell_length_a 8.364
_cell_length_b 8.364
_cell_length_c 8.362
_cell_angle_alpha 97.68
_cell_angle_beta 97.68
_cell_angle_gamma 102.25
_space_group_name_H-M_alt 'P 1'
_space_group_IT_number 1
_space_group_name_Hall 'P 1'
loop_
_atom_site_label
_atom_site_fract_x
_atom_site_fract_y
_atom_site_fract_z
_atom_site_occupancy
Hg1 0.231 0.231 0.372 1
Hg2 0.769 0.769 0.628 1
Pb1 0.319 0.681 0.000 1
Pb2 0.681 0.319 0.000 1
I1 0.000 0.000 0.500 1
I2 0.086 0.477 0.230 1
I3 0.378 0.378 0.770 1
I4 0.477 0.086 0.230 1
I5 0.523 0.914 0.770 1
I6 0.622 0.622 0.230 1
I7 0.914 0.523 0.770 1
```

Results
Final energy: -22.9 eV/cell
Formation energy (no corrections): -0.364 eV per atom

---

Record 6
HgPbI4 | PBE | relaxed

CIF file:
```
data_HgPbI4
_cell_length_a 8.811
_cell_length_b 8.811
_cell_length_c 7.959
_cell_angle_alpha 102.42
_cell_angle_beta 102.42
_cell_angle_gamma 83.57
_space_group_name_H-M_alt 'P 1'
_space_group_IT_number 1
_space_group_name_Hall 'P 1'
loop_
_atom_site_label
_atom_site_fract_x
_atom_site_fract_y
_atom_site_fract_z
_atom_site_occupancy
Hg1 0.243 0.757 0.750 1
Hg2 0.757 0.243 0.250 1
Pb1 0.120 0.880 0.250 1
Pb2 0.880 0.120 0.750 1
I1 0.074 0.230 0.490 1
I2 0.226 0.569 0.980 1
I3 0.230 0.074 0.990 1
I4 0.431 0.774 0.520 1
I5 0.569 0.226 0.480 1
I6 0.770 0.926 0.010 1
I7 0.774 0.431 0.020 1
I8 0.926 0.770 0.510 1
```

Results
Final energy: -25.8 eV/cell
Formation energy (no corrections): -0.449 eV per atom